# 1
The following is a PBE calculation of CaBi3Pd after structural relaxation, from Alexandria.

a = 4.6149 Å, b = 4.9541 Å, c = 6.8223 Å
α = 111.29°, β = 90.00°, γ = 90.00°
Atoms (fractional coordinates):
Ca 0.5000 0.0365 0.0731
Bi 0.0000 0.5227 0.0454
Bi 0.0000 0.2533 0.5066
Bi 0.5000 0.7627 0.5254
Pd 0.5000 0.3849 0.7697

Values from the calculation:
E: -20.9 eV per cell
ΔH_f (0 K): -0.405 eV per atom
Energy relative to the lowest polymorph listed for this composition: 0.0 meV/atom
Crystal system: orthorhombic

# 2
The following is a PBE calculation of CaPmBiPd after structural relaxation, from Alexandria.

a = 5.3195 Å, b = 5.3195 Å, c = 5.3195 Å
α = 60.00°, β = 60.00°, γ = 60.00°
Atoms (fractional coordinates):
Ca 0.2500 0.2500 0.2500
Bi 0.5000 0.5000 0.5000
Pd 0.0000 0.0000 0.0000
Pm 0.7500 0.7500 0.7500

Values from the calculation:
E: -18.7 eV per cell
ΔH_f (0 K): -0.712 eV per atom
Crystal system: cubic

# 3
The following is a PBE calculation of CaPrBiPd after structural relaxation, from Alexandria.

a = 5.3638 Å, b = 5.3638 Å, c = 5.3638 Å
α = 60.00°, β = 60.00°, γ = 60.00°
Atoms (fractional coordinates):
Pr 0.0000 0.0000 0.0000
Ca 0.5000 0.5000 0.5000
Bi 0.2500 0.2500 0.2500
Pd 0.7500 0.7500 0.7500

Values from the calculation:
E: -18.7 eV per cell
ΔH_f (0 K): -0.709 eV per atom
Crystal system: cubic

Listing total magnetic moment for the structures above in their given order: 0.000 0.000 0.000 μB per formula unit.